## La2TaP (PBE-GGA)

Data for crystalline La2TaP at its relaxed geometry.

- symmetry = No. 65
- ΔH_f (0 K) (eV/atom) = -0.091

Unit cell a=3.4841 b=3.4841 c=8.4801 alpha=90.00 beta=90.00 gamma=99.90
Sites, in units of the cell vectors:
1 P 0.5000 0.5000 0.2500
2 La 0.0000 0.0000 0.4725
3 La 0.0000 0.0000 0.0275
4 Ta 0.5000 0.5000 0.7500

## La4TaP (PBE-GGA)

Data for crystalline La4TaP at its relaxed geometry.

- symmetry = No. 216
- ΔH_f (0 K) (eV/atom) = 0.746

Unit cell a=6.2390 b=6.2390 c=6.2390 alpha=60.00 beta=60.00 gamma=60.00
Sites, in units of the cell vectors:
1 La 0.3743 0.8770 0.3743
2 La 0.3743 0.3743 0.3743
3 La 0.3743 0.3743 0.8770
4 La 0.8770 0.3743 0.3743
5 P 0.7500 0.7500 0.7500
6 Ta 0.0000 0.0000 0.0000

## La2TaP (PBE-GGA)

Data for crystalline La2TaP at its relaxed geometry.

- symmetry = No. 71
- ΔH_f (0 K) (eV/atom) = -0.221

Unit cell a=8.9214 b=8.9214 c=3.7500 alpha=77.88 beta=77.88 gamma=22.41
Sites, in units of the cell vectors:
1 La 0.4011 0.4011 0.5990
2 La 0.0989 0.0989 0.9010
3 P 0.7500 0.7500 0.7500
4 Ta 0.2500 0.2500 0.2500

## La2TaP (PBE-GGA)

Data for crystalline La2TaP at its relaxed geometry.

- symmetry = No. 119
- ΔH_f (0 K) (eV/atom) = 0.055

Unit cell a=5.7590 b=5.7590 c=5.7590 alpha=134.78 beta=134.78 gamma=65.87
Sites, in units of the cell vectors:
1 Ta 0.7500 0.2500 0.5000
2 P 0.5000 0.5000 0.0000
3 La 0.2500 0.7500 0.5000
4 La 0.0000 0.0000 0.0000

## LaTaP2 (PBE-GGA)

Data for crystalline LaTaP2 at its relaxed geometry.

- symmetry = No. 71
- energy above the lowest structure with this stoichiometry (meV per atom) = 459
- ΔH_f (0 K) (eV/atom) = -0.603

Unit cell a=5.2040 b=5.2040 c=5.2040 alpha=137.15 beta=112.78 gamma=83.09
Sites, in units of the cell vectors:
1 P 0.4610 0.4610 0.0000
2 P 0.0390 0.0390 0.0000
3 La 0.7500 0.2500 0.5000
4 Ta 0.2500 0.7500 0.5000

## La2TaP (PBE-GGA)

Data for crystalline La2TaP at its relaxed geometry.

- symmetry = No. 166
- ΔH_f (0 K) (eV/atom) = -0.015

Unit cell a=9.1922 b=9.1922 c=9.1922 alpha=23.67 beta=23.67 gamma=23.67
Sites, in units of the cell vectors:
1 Ta 0.7500 0.7500 0.7500
2 La 0.5126 0.5126 0.5126
3 La 0.9874 0.9874 0.9874
4 P 0.2500 0.2500 0.2500

## La2TaP (PBE-GGA)

Data for crystalline La2TaP at its relaxed geometry.

- symmetry = No. 122
- ΔH_f (0 K) (eV/atom) = -0.029

Unit cell a=10.3082 b=10.3082 c=7.6650 alpha=47.75 beta=47.75 gamma=90.00
Sites, in units of the cell vectors:
1 La 0.4827 0.1250 0.2500
2 La 0.8750 0.7327 0.7500
3 La 0.2673 0.6250 0.2500
4 La 0.3750 0.5173 0.7500
5 Ta 0.7500 0.2500 0.5000
6 Ta 0.0000 0.0000 0.0000
7 P 0.2500 0.7500 0.5000
8 P 0.5000 0.5000 0.0000

## La2TaP (PBE-GGA)

Data for crystalline La2TaP at its relaxed geometry.

- symmetry = No. 6
- ΔH_f (0 K) (eV/atom) = -0.385

Unit cell a=4.1994 b=4.4319 c=6.0629 alpha=68.54 beta=90.00 gamma=90.00
Sites, in units of the cell vectors:
1 La 0.5000 0.2662 0.3406
2 La 0.0000 0.9846 0.9081
3 P 0.0000 0.6871 0.4983
4 Ta 0.5000 0.5621 0.7531

## La2TaP (PBE-GGA)

Data for crystalline La2TaP at its relaxed geometry.

- symmetry = No. 71
- ΔH_f (0 K) (eV/atom) = 0.143

Unit cell a=5.4785 b=5.4785 c=5.4785 alpha=128.90 beta=127.61 gamma=76.22
Sites, in units of the cell vectors:
1 Ta 0.2500 0.7500 0.5000
2 La 0.0008 0.0008 0.0000
3 La 0.4992 0.4992 0.0000
4 P 0.7500 0.2500 0.5000

## LaTaP (PBE-GGA)

Data for crystalline LaTaP at its relaxed geometry.

- symmetry = No. 129
- ΔH_f (0 K) (eV/atom) = -0.853

Unit cell a=3.9180 b=3.9180 c=9.5323 alpha=90.00 beta=90.00 gamma=90.00
Sites, in units of the cell vectors:
1 Ta 0.5000 0.5000 0.5000
2 Ta 0.0000 0.0000 0.5000
3 La 0.0000 0.5000 0.8112
4 La 0.5000 0.0000 0.1888
5 P 0.0000 0.5000 0.3173
6 P 0.5000 0.0000 0.6827

## La2TaP2 (PBE-GGA)

Data for crystalline La2TaP2 at its relaxed geometry.

- symmetry = No. 127
- ΔH_f (0 K) (eV/atom) = -0.818

Unit cell a=7.1883 b=7.1883 c=4.3506 alpha=90.00 beta=90.00 gamma=90.00
Sites, in units of the cell vectors:
1 La 0.3430 0.1570 0.5000
2 La 0.6570 0.8430 0.5000
3 La 0.8430 0.3430 0.5000
4 La 0.1570 0.6570 0.5000
5 Ta 0.5000 0.5000 0.0000
6 Ta 0.0000 0.0000 0.0000
7 P 0.3387 0.8387 0.0000
8 P 0.1613 0.3387 0.0000
9 P 0.6613 0.1613 0.0000
10 P 0.8387 0.6613 0.0000

## LaTaP (PBE-GGA)

Data for crystalline LaTaP at its relaxed geometry.

- symmetry = No. 216
- ΔH_f (0 K) (eV/atom) = -0.017

Unit cell a=4.6097 b=4.6097 c=4.6097 alpha=60.00 beta=60.00 gamma=60.00
Sites, in units of the cell vectors:
1 P 0.7500 0.7500 0.7500
2 La 0.5000 0.5000 0.5000
3 Ta 0.0000 0.0000 0.0000

## La2TaP (PBE-GGA)

Data for crystalline La2TaP at its relaxed geometry.

- symmetry = No. 216
- ΔH_f (0 K) (eV/atom) = 0.252

Unit cell a=5.0648 b=5.0648 c=5.0648 alpha=60.00 beta=60.00 gamma=60.00
Sites, in units of the cell vectors:
1 La 0.0000 0.0000 0.0000
2 La 0.2500 0.2500 0.2500
3 Ta 0.7500 0.7500 0.7500
4 P 0.5000 0.5000 0.5000

## LaTaP2 (PBE-GGA)

Data for crystalline LaTaP2 at its relaxed geometry.

- symmetry = No. 44
- energy above the lowest structure with this stoichiometry (meV per atom) = 212
- ΔH_f (0 K) (eV/atom) = -0.849

Unit cell a=7.1764 b=7.1764 c=7.1764 alpha=152.23 beta=151.26 gamma=40.39
Sites, in units of the cell vectors:
1 P 0.0232 0.0232 0.0000
2 P 0.3199 0.8199 0.5000
3 La 0.7042 0.2042 0.5000
4 Ta 0.4528 0.4528 0.0000

## LaTaP2 (PBE-GGA)

Data for crystalline LaTaP2 at its relaxed geometry.

- symmetry = No. 10
- energy above the lowest structure with this stoichiometry (meV per atom) = 318
- ΔH_f (0 K) (eV/atom) = -0.743

Unit cell a=3.2789 b=3.2772 c=7.6887 alpha=64.56 beta=90.00 gamma=90.00
Sites, in units of the cell vectors:
1 P 0.0000 0.9493 0.0505
2 P 0.0000 0.5507 0.4495
3 La 0.5000 0.7500 0.7500
4 Ta 0.5000 0.2500 0.2500

## LaTaP2 (PBE-GGA)

Data for crystalline LaTaP2 at its relaxed geometry.

- symmetry = No. 225
- energy above the lowest structure with this stoichiometry (meV per atom) = 558
- ΔH_f (0 K) (eV/atom) = -0.503

Unit cell a=4.7453 b=4.7453 c=4.7453 alpha=60.00 beta=60.00 gamma=60.00
Sites, in units of the cell vectors:
1 P 0.7500 0.7500 0.7500
2 P 0.2500 0.2500 0.2500
3 Ta 0.5000 0.5000 0.5000
4 La 0.0000 0.0000 0.0000

## LaTbP2 (PBE-GGA)

Data for crystalline LaTbP2 at its relaxed geometry.

- symmetry = No. 160
- energy above the lowest structure with this stoichiometry (meV per atom) = 137
- ΔH_f (0 K) (eV/atom) = -1.445

Unit cell a=4.0810 b=4.0810 c=7.4720 alpha=74.15 beta=74.15 gamma=60.00
Sites, in units of the cell vectors:
1 P 0.2552 0.2552 0.2343
2 P 0.0787 0.0787 0.7639
3 Tb 0.6686 0.6686 0.9943
4 La 0.4975 0.4975 0.5075

## La3TbP4 (PBE-GGA)

Data for crystalline La3TbP4 at its relaxed geometry.

- symmetry = No. 65
- ΔH_f (0 K) (eV/atom) = -1.570

Unit cell a=4.2193 b=7.2988 c=7.2988 alpha=109.43 beta=90.00 gamma=90.00
Sites, in units of the cell vectors:
1 P 0.5000 0.7544 0.2456
2 P 0.0000 0.2418 0.2418
3 P 0.0000 0.7582 0.7582
4 P 0.5000 0.2456 0.7544
5 La 0.0000 0.0000 0.5000
6 La 0.0000 0.5000 0.0000
7 La 0.5000 0.5000 0.5000
8 Tb 0.5000 0.0000 0.0000

## LaTbP2 (PBE-GGA)

Data for crystalline LaTbP2 at its relaxed geometry.

- symmetry = No. 166
- energy above the lowest structure with this stoichiometry (meV per atom) = 0
- ΔH_f (0 K) (eV/atom) = -1.582

Unit cell a=4.1527 b=4.1527 c=7.1900 alpha=73.21 beta=73.21 gamma=60.00
Sites, in units of the cell vectors:
1 P 0.2541 0.2541 0.2374
2 P 0.7459 0.7459 0.7626
3 Tb 0.0000 0.0000 0.0000
4 La 0.5000 0.5000 0.5000

## La5TbP6 (PBE-GGA)

Data for crystalline La5TbP6 at its relaxed geometry.

- symmetry = No. 12
- ΔH_f (0 K) (eV/atom) = -1.572

Unit cell a=7.3381 b=7.3382 c=7.3382 alpha=60.00 beta=80.40 gamma=70.51
Sites, in units of the cell vectors:
1 P 0.7544 0.0818 0.3263
2 P 0.7544 0.4081 0.6737
3 P 0.7539 0.7559 0.0000
4 P 0.2456 0.9182 0.6737
5 P 0.2456 0.5919 0.3263
6 P 0.2461 0.2441 0.0000
7 La 0.5000 0.1672 0.6656
8 La 0.0000 0.6664 0.6672
9 La 0.0000 0.3336 0.3328
10 La 0.5000 0.8328 0.3344
11 La 0.5000 0.5000 0.0000
12 Tb 0.0000 0.0000 0.0000

## La3TbP4 (PBE-GGA)

Data for crystalline La3TbP4 at its relaxed geometry.

- symmetry = No. 13
- ΔH_f (0 K) (eV/atom) = -1.571

Unit cell a=7.3007 b=7.3002 c=8.4397 alpha=90.00 beta=90.00 gamma=109.50
Sites, in units of the cell vectors:
1 P 0.0051 0.7537 0.3701
2 P 0.4993 0.7592 0.1200
3 P 0.9949 0.2463 0.6299
4 P 0.5051 0.7537 0.6299
5 P 0.5007 0.2408 0.8800
6 P 0.0007 0.2408 0.1200
7 P 0.4949 0.2463 0.3701
8 P 0.9993 0.7592 0.8800
9 La 0.2500 0.5000 0.3728
10 La 0.7500 0.5000 0.6272
11 La 0.7500 0.5000 0.1237
12 La 0.7500 0.0000 0.3732
13 La 0.2500 0.5000 0.8763
14 La 0.2500 0.0000 0.6268
15 Tb 0.2500 0.0000 0.1232
16 Tb 0.7500 0.0000 0.8768

## La2TbP (PBE-GGA)

Data for crystalline La2TbP at its relaxed geometry.

- symmetry = No. 166
- ΔH_f (0 K) (eV/atom) = -0.498

Unit cell a=3.8993 b=3.8993 c=10.6599 alpha=79.46 beta=79.46 gamma=60.00
Sites, in units of the cell vectors:
1 Tb 0.0000 0.0000 0.0000
2 La 0.8890 0.8890 0.3331
3 La 0.1110 0.1110 0.6669
4 P 0.5000 0.5000 0.5000

## LaTb2P3 (PBE-GGA)

Data for crystalline LaTb2P3 at its relaxed geometry.

- symmetry = No. 71
- ΔH_f (0 K) (eV/atom) = -1.580

Unit cell a=4.1118 b=5.8244 c=7.1234 alpha=114.13 beta=106.77 gamma=90.00
Sites, in units of the cell vectors:
1 Tb 0.3338 0.8338 0.6677
2 Tb 0.6662 0.1662 0.3323
3 P 0.0000 0.0000 0.0000
4 P 0.6734 0.6734 0.3468
5 P 0.3266 0.3266 0.6532
6 La 0.0000 0.5000 0.0000

## La5Tb3P8 (PBE-GGA)

Data for crystalline La5Tb3P8 at its relaxed geometry.

- symmetry = No. 166
- ΔH_f (0 K) (eV/atom) = -1.572

Unit cell a=8.3706 b=8.3706 c=8.3705 alpha=60.00 beta=60.00 gamma=60.00
Sites, in units of the cell vectors:
1 P 0.7500 0.2414 0.2586
2 P 0.7540 0.7540 0.7379
3 P 0.2500 0.7586 0.7414
4 P 0.2460 0.2460 0.2621
5 P 0.7500 0.7500 0.2586
6 P 0.2500 0.2500 0.7414
7 P 0.7586 0.2500 0.7414
8 P 0.2414 0.7500 0.2586
9 Tb 0.5000 0.0000 0.5000
10 Tb 0.0000 0.0000 0.5000
11 Tb 0.0000 0.5000 0.5000
12 La 0.0000 0.0000 0.0000
13 La 0.5000 0.5000 0.0000
14 La 0.5000 0.0000 0.0000
15 La 0.0000 0.5000 0.0000
16 La 0.5000 0.5000 0.5000

## La2Tb3P4 (PBE-GGA)

Data for crystalline La2Tb3P4 at its relaxed geometry.

- symmetry = No. 12
- ΔH_f (0 K) (eV/atom) = -1.417

Unit cell a=4.0614 b=7.0361 c=9.2605 alpha=74.50 beta=77.33 gamma=73.23
Sites, in units of the cell vectors:
1 P 0.3986 0.3014 0.9014
2 P 0.2015 0.8915 0.7055
3 P 0.6014 0.6986 0.0986
4 P 0.7985 0.1085 0.2945
5 Tb 0.7918 0.5989 0.8175
6 Tb 0.0000 0.0000 0.0000
7 Tb 0.2082 0.4011 0.1825
8 La 0.6009 0.1920 0.6062
9 La 0.3991 0.8080 0.3938

## La2TbTh3P6 (PBE-GGA)

Data for crystalline La2TbTh3P6 at its relaxed geometry.

- symmetry = No. 12
- ΔH_f (0 K) (eV/atom) = -1.579

Unit cell a=7.2182 b=7.2182 c=7.2076 alpha=99.63 beta=99.63 gamma=119.93
Sites, in units of the cell vectors:
1 P 0.7591 0.7591 0.2561
2 P 0.2409 0.2409 0.7439
3 P 0.0845 0.4110 0.2542
4 P 0.9155 0.5890 0.7458
5 P 0.4110 0.0845 0.2542
6 P 0.5890 0.9155 0.7458
7 Th 0.5000 0.5000 0.5000
8 Th 0.1679 0.8321 0.5000
9 Th 0.8321 0.1679 0.5000
10 La 0.3337 0.6663 0.0000
11 La 0.6663 0.3337 0.0000
12 Tb 0.0000 0.0000 0.0000

no.,density (g/cm³)
1,8.02
2,7.42
3,7.32
4,8.58
5,7.43
6,7.39
7,6.46
8,7.74
9,8.25
10,7.96
11,7.69
12,8.41
13,8.85
14,7.67
15,8.50
16,8.39
17,5.84
18,5.48
19,5.90
20,5.35
21,5.48
22,5.66
23,6.18
24,5.68
25,6.05
26,7.14